Tb6PrTm2Sc3 after structural relaxation, computed with PBE.

a b c (Å): 6.061 10.493 11.487
angles (deg): 90.00 100.11 90.00
Space group C2/m (No. 12)
One atom of each set of equivalent atoms:
Tb 0.246 0.167 0.240
Tb 0.247 0.500 0.240
Pr 0.000 0.500 0.500
Tm 0.000 0.167 0.500
Sc 0.000 0.000 0.000
Sc 0.000 0.333 0.000

Properties
formation energy = 46 meV per atom
N(E_F) = 33.19 states/eV/cell
E_tot = -59.95 eV per formula unit